[1]
# YSc3 (SCAN, PBEsol geometry)
data_YSc3
_chemical_formula_sum 'Y2 Sc6'
_cell_length_a 5.1927
_cell_length_b 6.7119
_cell_length_c 5.8059
_cell_angle_alpha 90.00
_cell_angle_beta 90.00
_cell_angle_gamma 90.00
_space_group_name_H-M_alt 'P m m n'
_space_group_IT_number 59
loop_
_space_group_symop_operation_xyz
'x,y,z'
'-x,-y,-z'
'-x+1/2,-y+1/2,z'
'x+1/2,y+1/2,-z'
'x+1/2,-y,-z'
'-x+1/2,y,z'
'-x,y+1/2,-z'
'x,-y+1/2,z'
loop_
_atom_site_label
_atom_site_fract_x
_atom_site_fract_y
_atom_site_fract_z
_atom_site_occupancy
Y1 0.2500 0.2500 0.1634 1
Sc1 0.2500 0.0017 0.6625 1
Sc2 0.2500 0.7500 0.1778 1
# Relative energy among the computed polymorphs in meV/atom: 29.6
# E_tot in eV per atom: -17.593
# Total magnetization in μB/cell: 0.0



[2]
# TcPbW2 (SCAN, PBEsol geometry)
data_TcPbW2
_chemical_formula_sum 'Tc1 Pb1 W2'
_cell_length_a 2.9641
_cell_length_b 2.9641
_cell_length_c 7.8520
_cell_angle_alpha 90.00
_cell_angle_beta 90.00
_cell_angle_gamma 90.00
_space_group_name_H-M_alt 'P 4/m m m'
_space_group_IT_number 123
_space_group_name_Hall '-P 4 2'
loop_
_atom_site_label
_atom_site_fract_x
_atom_site_fract_y
_atom_site_fract_z
_atom_site_occupancy
Tc1 0.0000 0.0000 0.0000 1
Pb1 0.0000 0.0000 0.5000 1
W1 0.5000 0.5000 0.2124 1
# E_tot in eV per atom: -61.855
# Total magnetization in μB/cell: 0.0



[3]
# LaAl2Tl (SCAN, PBEsol geometry)
data_LaAl2Tl
_chemical_formula_sum 'La2 Al4 Tl2'
_cell_length_a 4.2745
_cell_length_b 4.4427
_cell_length_c 10.3922
_cell_angle_alpha 90.00
_cell_angle_beta 90.00
_cell_angle_gamma 90.00
_space_group_name_H-M_alt 'I m m 2'
_space_group_IT_number 44
_space_group_name_Hall 'I 2 -2'
loop_
_atom_site_label
_atom_site_fract_x
_atom_site_fract_y
_atom_site_fract_z
_atom_site_occupancy
La1 0.0000 0.0000 0.0000 1
Al1 0.0000 0.0000 0.4165 1
Al2 0.0000 0.5000 0.7491 1
Tl1 0.0000 0.5000 0.2278 1
# Relative energy among the computed polymorphs in meV/atom: 0.0
# E_tot in eV per atom: -32.990
# Total magnetization in μB/cell: 0.0



[4]
# KFePt2 (SCAN, PBEsol geometry)
data_KFePt2
_chemical_formula_sum 'K1 Fe1 Pt2'
_cell_length_a 2.7344
_cell_length_b 4.9129
_cell_length_c 4.9367
_cell_angle_alpha 90.00
_cell_angle_beta 90.00
_cell_angle_gamma 90.00
_space_group_name_H-M_alt 'P m m m'
_space_group_IT_number 47
_space_group_name_Hall '-P 2 2'
loop_
_atom_site_label
_atom_site_fract_x
_atom_site_fract_y
_atom_site_fract_z
_atom_site_occupancy
K1 0.0000 0.0000 0.0000 1
Fe1 0.5000 0.5000 0.0000 1
Pt1 0.0000 0.5000 0.5000 1
Pt2 0.5000 0.0000 0.5000 1
# Relative energy among the computed polymorphs in meV/atom: 433.7
# E_tot in eV per atom: -41.261
# Total magnetization in μB/cell: 3.3



[5]
# Nd5Si3 (SCAN, PBEsol geometry)
data_Nd5Si3
_chemical_formula_sum 'Nd10 Si6'
_cell_length_a 8.6875
_cell_length_b 8.6875
_cell_length_c 6.5534
_cell_angle_alpha 90.00
_cell_angle_beta 90.00
_cell_angle_gamma 120.00
_space_group_name_H-M_alt 'P 63/m c m'
_space_group_IT_number 193
_space_group_name_Hall '-P 6c 2'
loop_
_atom_site_label
_atom_site_fract_x
_atom_site_fract_y
_atom_site_fract_z
_atom_site_occupancy
Nd1 0.0000 0.2481 0.2500 1
Nd2 0.3333 0.6667 0.0000 1
Si1 0.0000 0.3926 0.7500 1
# Relative energy among the computed polymorphs in meV/atom: 15.3
# E_tot in eV per atom: -31.620
# ΔE_f (raw) in eV/atom: -0.6254
# Total magnetization in μB/cell: 0.0



[6]
# SbRuI2N (SCAN, PBEsol geometry)
data_SbRuI2N
_chemical_formula_sum 'Sb1 Ru1 I2 N1'
_cell_length_a 5.4850
_cell_length_b 5.4850
_cell_length_c 4.9138
_cell_angle_alpha 90.00
_cell_angle_beta 90.00
_cell_angle_gamma 90.00
_space_group_name_H-M_alt 'P 4/m m m'
_space_group_IT_number 123
_space_group_name_Hall '-P 4 2'
loop_
_atom_site_label
_atom_site_fract_x
_atom_site_fract_y
_atom_site_fract_z
_atom_site_occupancy
Sb1 0.0000 0.0000 0.0000 1
Ru1 0.0000 0.0000 0.5000 1
I1 0.0000 0.5000 0.5000 1
N1 0.5000 0.5000 0.0000 1
# E_tot in eV per atom: -29.737
# ΔE_f (raw) in eV/atom: 1.2355
# Total magnetization in μB/cell: 2.2



[7]
# Li3CuS2 (SCAN, PBEsol geometry)
data_Li3CuS2
_chemical_formula_sum 'Li6 Cu2 S4'
_cell_length_a 7.8666
_cell_length_b 3.9284
_cell_length_c 5.5501
_cell_angle_alpha 90.00
_cell_angle_beta 90.00
_cell_angle_gamma 90.00
_space_group_name_H-M_alt 'P m m a'
_space_group_IT_number 51
_space_group_name_Hall '-P 2a 2a'
loop_
_atom_site_label
_atom_site_fract_x
_atom_site_fract_y
_atom_site_fract_z
_atom_site_occupancy
Li1 0.0036 0.0000 0.2487 1
Li2 0.2500 0.5000 0.7523 1
Cu1 0.2500 0.5000 0.2580 1
S1 0.0000 0.5000 0.0000 1
S2 0.2500 0.0000 0.4922 1
# E_tot in eV per atom: -8.102
# ΔE_f (raw) in eV/atom: -1.1650
# Total magnetization in μB/cell: 0.0



[8]
# ScRu3 (SCAN, PBEsol geometry)
data_ScRu3
_chemical_formula_sum 'Sc1 Ru3'
_cell_length_a 2.7610
_cell_length_b 3.7755
_cell_length_c 5.6596
_cell_angle_alpha 90.00
_cell_angle_beta 90.00
_cell_angle_gamma 90.00
_space_group_name_H-M_alt 'P m m m'
_space_group_IT_number 47
_space_group_name_Hall '-P 2 2'
loop_
_atom_site_label
_atom_site_fract_x
_atom_site_fract_y
_atom_site_fract_z
_atom_site_occupancy
Sc1 0.0000 0.0000 0.0000 1
Ru1 0.0000 0.0000 0.5000 1
Ru2 0.5000 0.5000 0.2741 1
# E_tot in eV per atom: -29.698
# Total magnetization in μB/cell: 0.0